Record 1
TlO: relaxed, PBE.

The calculation puts the uncorrected formation energy at -1.09 eV per formula unit. The value obtained for the volume is 20.44 A^3/atom. The size of the total moment comes out at 0.00 μB/f.u.

It has space group F-43m (No. 216), with a = 5.468 Å, b = 5.468 Å, c = 5.468 Å, α = 90.00°, β = 90.00° and γ = 90.00°. The distinct sites, in fractional coordinates, are Tl at (0.000, 0.000, 0.000) and O at (0.250, 0.250, 0.250).



Record 2
TlO2: relaxed, PBE.

The calculation puts the uncorrected formation energy at -1.35 eV per formula unit. The value obtained for the volume is 13.89 A^3/atom. The size of the total moment comes out at 0.00 μB/f.u.

It has space group C2/m (No. 12), with a = 7.009 Å, b = 3.648 Å, c = 6.534 Å, α = 90.00°, β = 94.34° and γ = 90.00°. The distinct sites, in fractional coordinates, are Tl at (0.175, 0.000, 0.227), O at (0.095, 0.500, 0.467) and O at (0.147, 0.000, 0.857).



Record 3
TlO: relaxed, PBE.

The calculation puts the uncorrected formation energy at -1.14 eV per formula unit. The value obtained for the volume is 19.46 A^3/atom. The size of the total moment comes out at 0.00 μB/f.u.

It has space group Pmmn (No. 59, origin choice 2), with a = 3.691 Å, b = 12.441 Å, c = 5.086 Å, α = 90.00°, β = 90.00° and γ = 90.00°. The distinct sites, in fractional coordinates, are Tl at (0.250, 0.065, 0.219), Tl at (0.250, 0.750, 0.265), O at (0.250, 0.250, 0.986) and O at (0.250, 0.606, 0.510).



Record 4
TlO2: relaxed, PBE.

The calculation puts the uncorrected formation energy at -0.44 eV per formula unit. The value obtained for the volume is 13.67 A^3/atom. The size of the total moment comes out at 1.01 μB/f.u.

It has space group Pnnm (No. 58), with a = 3.965 Å, b = 15.784 Å, c = 3.933 Å, α = 90.00°, β = 90.00° and γ = 90.00°. The distinct sites, in fractional coordinates, are Tl at (0.000, 0.000, 0.000), Tl at (0.007, 0.333, 0.000), O at (0.005, 0.084, 0.500), O at (0.005, 0.417, 0.500) and O at (0.008, 0.250, 0.500).



Record 5
TlO: relaxed, PBE.

The calculation puts the uncorrected formation energy at -1.04 eV per formula unit. The value obtained for the volume is 21.67 A^3/atom. The size of the total moment comes out at 0.00 μB/f.u.

It has space group P4_2/mnm (No. 136), with a = 6.726 Å, b = 6.726 Å, c = 3.831 Å, α = 90.00°, β = 90.00° and γ = 90.00°. The distinct sites, in fractional coordinates, are Tl at (0.178, 0.178, 0.000) and O at (0.180, 0.820, 0.000).



Record 6
TlO: relaxed, PBE.

The calculation puts the uncorrected formation energy at -0.91 eV per formula unit. The value obtained for the volume is 16.99 A^3/atom. The size of the total moment comes out at 0.00 μB/f.u.

It has space group Fm-3m (No. 225), with a = 5.142 Å, b = 5.142 Å, c = 5.142 Å, α = 90.00°, β = 90.00° and γ = 90.00°. The distinct sites, in fractional coordinates, are Tl at (0.000, 0.000, 0.000) and O at (0.000, 0.000, 0.500).



Record 7
Tm2TlO: relaxed, PBE.

The calculation puts the uncorrected formation energy at -6.17 eV per formula unit. The value obtained for the volume is 20.06 A^3/atom. The size of the total moment comes out at 0.00 μB/f.u.

It has space group R-3m (No. 166, hexagonal axes), with a = 3.4989 Å, b = 3.4989 Å, c = 22.7052 Å, α = 90.00°, β = 90.00° and γ = 120.00°. The distinct sites, in fractional coordinates, are Tm at (0.0000, 0.0000, 0.2232), Tl at (0.0000, 0.0000, 0.0000) and O at (0.0000, 0.0000, 0.5000).



Record 8
Tm2TlO: relaxed, PBE.

The calculation puts the uncorrected formation energy at -3.86 eV per formula unit. The value obtained for the volume is 18.89 A^3/atom. The size of the total moment comes out at 0.59 μB/f.u.

It has space group P4/mmm (No. 123), with a = 3.106 Å, b = 3.106 Å, c = 7.832 Å, α = 90.00°, β = 90.00° and γ = 90.00°. The distinct sites, in fractional coordinates, are Tm at (0.000, 0.000, 0.196), Tl at (0.500, 0.500, 0.500) and O at (0.500, 0.500, 0.000).



Record 9
Tm4Tl2O: relaxed, PBE.

The calculation puts the uncorrected formation energy at -7.48 eV per formula unit. The value obtained for the volume is 25.40 A^3/atom. The size of the total moment comes out at 0.00 μB/f.u.

It has space group P2_1/m (No. 11), with a = 6.323 Å, b = 6.746 Å, c = 8.882 Å, α = 90.00°, β = 110.20° and γ = 90.00°. The distinct sites, in fractional coordinates, are Tm at (0.042, 0.002, 0.281), Tm at (0.360, 0.750, 0.050), Tm at (0.419, 0.750, 0.649), Tl at (0.198, 0.250, 0.023), Tl at (0.317, 0.250, 0.590) and O at (0.197, 0.750, 0.791).



Record 10
Tm2TlO2: relaxed, PBE.

The calculation puts the uncorrected formation energy at -12.47 eV per formula unit. The value obtained for the volume is 20.13 A^3/atom. The size of the total moment comes out at 0.00 μB/f.u.

It has space group I4/mmm (No. 139), with a = 3.802 Å, b = 3.802 Å, c = 13.919 Å, α = 90.00°, β = 90.00° and γ = 90.00°. The distinct sites, in fractional coordinates, are Tm at (0.000, 0.000, 0.172), Tl at (0.000, 0.000, 0.500) and O at (0.000, 0.500, 0.250).



Record 11
TmTlO2: relaxed, PBE.

The calculation puts the uncorrected formation energy at -9.61 eV per formula unit. The value obtained for the volume is 17.29 A^3/atom. The size of the total moment comes out at 0.00 μB/f.u.

It has space group R3m (No. 160, hexagonal axes), with a = 3.4483 Å, b = 3.4483 Å, c = 20.1436 Å, α = 90.00°, β = 90.00° and γ = 120.00°. The distinct sites, in fractional coordinates, are Tm at (0.0000, 0.0000, 0.0000), Tl at (0.0000, 0.0000, 0.8212), O at (0.0000, 0.0000, 0.3968) and O at (0.0000, 0.0000, 0.6208).



Record 12
Tm3TlO6: relaxed, PBE.

The calculation puts the uncorrected formation energy at -28.83 eV per formula unit. The value obtained for the volume is 14.71 A^3/atom. The size of the total moment comes out at 0.00 μB/f.u.

It has space group R-3 (No. 148, hexagonal axes), with a = 9.5411 Å, b = 9.5411 Å, c = 11.1967 Å, α = 90.00°, β = 90.00° and γ = 120.00°. The distinct sites, in fractional coordinates, are Tm at (0.0401, 0.7750, 0.2080), Tl at (0.0000, 0.0000, 0.0000), Tl at (0.0000, 0.0000, 0.5000), O at (0.0242, 0.8001, 0.4016) and O at (0.0287, 0.8395, 0.8646).



Record 13
TmTlO: relaxed, PBE.

The calculation puts the uncorrected formation energy at -6.09 eV per formula unit. The value obtained for the volume is 23.06 A^3/atom. The size of the total moment comes out at 0.00 μB/f.u.

It has space group Pmmn (No. 59, origin choice 2), with a = 3.758 Å, b = 3.984 Å, c = 9.241 Å, α = 90.00°, β = 90.00° and γ = 90.00°. The distinct sites, in fractional coordinates, are Tm at (0.250, 0.250, 0.114), Tl at (0.250, 0.750, 0.600) and O at (0.250, 0.750, 0.016).



Record 14
TmTlO2: relaxed, PBE.

The calculation puts the uncorrected formation energy at -9.66 eV per formula unit. The value obtained for the volume is 16.71 A^3/atom. The size of the total moment comes out at 0.00 μB/f.u.

It has space group R-3m (No. 166, hexagonal axes), with a = 3.4441 Å, b = 3.4441 Å, c = 19.5254 Å, α = 90.00°, β = 90.00° and γ = 120.00°. The distinct sites, in fractional coordinates, are Tm at (0.0000, 0.0000, 0.0000), Tl at (0.0000, 0.0000, 0.5000) and O at (0.0000, 0.0000, 0.2770).



Record 15
Tm3TlO: relaxed, PBE.

The calculation puts the uncorrected formation energy at -5.78 eV per formula unit. The value obtained for the volume is 24.75 A^3/atom. The size of the total moment comes out at 0.00 μB/f.u.

It has space group C2/m (No. 12), with a = 16.453 Å, b = 3.407 Å, c = 8.851 Å, α = 90.00°, β = 93.75° and γ = 90.00°. The distinct sites, in fractional coordinates, are Tm at (0.000, 0.000, 0.188), Tm at (0.153, 0.500, 0.034), Tm at (0.172, 0.000, 0.377), Tl at (0.180, 0.000, 0.730) and O at (0.088, 0.500, 0.277).



Record 16
Tm2TlO: relaxed, PBE.

The calculation puts the uncorrected formation energy at -6.58 eV per formula unit. The value obtained for the volume is 22.90 A^3/atom. The size of the total moment comes out at 0.00 μB/f.u.

It has space group Pnma (No. 62), with a = 7.481 Å, b = 3.721 Å, c = 13.162 Å, α = 90.00°, β = 90.00° and γ = 90.00°. The distinct sites, in fractional coordinates, are Tm at (0.103, 0.250, 0.222), Tm at (0.182, 0.250, 0.957), Tl at (0.092, 0.250, 0.625) and O at (0.041, 0.750, 0.920).



Record 17
Tm2TlO: relaxed, PBE.

The calculation puts the uncorrected formation energy at -6.47 eV per formula unit. The value obtained for the volume is 21.39 A^3/atom. The size of the total moment comes out at 0.00 μB/f.u.

It has space group C2/m (No. 12), with a = 6.339 Å, b = 6.358 Å, c = 8.543 Å, α = 90.00°, β = 96.29° and γ = 90.00°. The distinct sites, in fractional coordinates, are Tm at (0.000, 0.248, 0.000), Tm at (0.206, 0.500, 0.671), Tl at (0.199, 0.000, 0.689) and O at (0.233, 0.500, 0.935).



Record 18
Tm3TlO6: relaxed, PBE.

The calculation puts the uncorrected formation energy at -28.67 eV per formula unit. The value obtained for the volume is 13.66 A^3/atom. The size of the total moment comes out at 0.00 μB/f.u.

It has space group Cmc2_1 (No. 36), with a = 8.810 Å, b = 11.091 Å, c = 5.591 Å, α = 90.00°, β = 90.00° and γ = 90.00°. The distinct sites, in fractional coordinates, are Tm at (0.000, 0.099, 0.000), Tm at (0.197, 0.394, 0.056), Tl at (0.000, 0.319, 0.564), O at (0.000, 0.280, 0.195), O at (0.000, 0.479, 0.807), O at (0.161, 0.021, 0.276) and O at (0.171, 0.230, 0.793).



Record 19
Tm4Tl3O: relaxed, PBE.

The calculation puts the uncorrected formation energy at -6.22 eV per formula unit. The value obtained for the volume is 27.55 A^3/atom. The size of the total moment comes out at 0.00 μB/f.u.

It has space group Pmn2_1 (No. 31), with a = 7.172 Å, b = 8.887 Å, c = 6.915 Å, α = 90.00°, β = 90.00° and γ = 90.00°. The distinct sites, in fractional coordinates, are Tm at (0.000, 0.109, 0.000), Tm at (0.000, 0.737, 0.319), Tm at (0.237, 0.780, 0.879), Tl at (0.000, 0.006, 0.581), Tl at (0.222, 0.465, 0.067) and O at (0.000, 0.862, 0.043).



Record 20
TmUTl2O6: relaxed, PBE.

The calculation puts the uncorrected formation energy at -23.53 eV per formula unit. The value obtained for the volume is 16.06 A^3/atom. The size of the total moment comes out at 0.00 μB/f.u.

It has space group Fmmm (No. 69), with a = 8.620 Å, b = 8.627 Å, c = 8.642 Å, α = 90.00°, β = 90.00° and γ = 90.00°. The distinct sites, in fractional coordinates, are Tm at (0.000, 0.000, 0.000), U at (0.000, 0.000, 0.500), Tl at (0.250, 0.250, 0.250), O at (0.000, 0.000, 0.258), O at (0.000, 0.242, 0.500) and O at (0.242, 0.000, 0.500).